1.
Here is a relaxed Ba3Tl3Pd crystal from Alexandria. Energies are from GGA-PBE.

Geometry as CIF:
```
data_Ba3Tl3Pd
_chemical_formula_sum 'Ba6 Tl6 Pd2'
_cell_length_a 4.435
_cell_length_b 6.987
_cell_length_c 17.565
_cell_angle_alpha 82.81
_cell_angle_beta 82.75
_cell_angle_gamma 71.49
_symmetry_space_group_name_H-M 'P 1'
_symmetry_Int_Tables_number 1
_symmetry_space_group_name_Hall 'P 1'
loop_
_atom_site_label
_atom_site_fract_x
_atom_site_fract_y
_atom_site_fract_z
_atom_site_occupancy
Tl1 0.180 0.182 0.459 1
Ba1 0.266 0.224 0.244 1
Pd1 0.800 0.025 0.376 1
Ba2 0.386 0.306 0.921 1
Tl2 0.892 0.136 0.079 1
Ba3 0.480 0.647 0.392 1
Ba4 0.614 0.694 0.079 1
Tl3 0.108 0.864 0.921 1
Pd2 0.200 0.975 0.624 1
Tl4 0.820 0.818 0.541 1
Ba5 0.520 0.353 0.608 1
Tl5 0.017 0.201 0.764 1
Ba6 0.734 0.776 0.756 1
Tl6 0.983 0.799 0.236 1
```

## Properties
Electronic total energy in eV per atom: -3.002
DFT formation energy in eV/atom: -0.42
Space-group type: C2/m
Crystal system: monoclinic

2.
Here is a relaxed Dy2Zn2Ru crystal from Alexandria. Energies are from GGA-PBE.

Geometry as CIF:
```
data_Dy2Zn2Ru
_chemical_formula_sum 'Dy2 Zn2 Ru1'
_cell_length_a 4.710
_cell_length_b 4.853
_cell_length_c 5.596
_cell_angle_alpha 115.69
_cell_angle_beta 114.89
_cell_angle_gamma 90.00
_symmetry_space_group_name_H-M 'P 1'
_symmetry_Int_Tables_number 1
_symmetry_space_group_name_Hall 'P 1'
loop_
_atom_site_label
_atom_site_fract_x
_atom_site_fract_y
_atom_site_fract_z
_atom_site_occupancy
Zn1 0.500 0.251 0.000 1
Dy1 0.814 0.314 0.628 1
Ru1 0.000 0.000 0.000 1
Zn2 0.500 0.749 0.000 1
Dy2 0.186 0.686 0.372 1
```

## Properties
Electronic total energy in eV per atom: -4.543
DFT formation energy in eV/atom: -0.34
Space-group type: Immm
Crystal system: orthorhombic

3.
Here is a relaxed Sr2BeCd crystal from Alexandria. Energies are from GGA-PBE.

Geometry as CIF:
```
data_Sr2BeCd
_chemical_formula_sum 'Sr2 Be1 Cd1'
_cell_length_a 8.774
_cell_length_b 5.570
_cell_length_c 3.887
_cell_angle_alpha 90.09
_cell_angle_beta 63.58
_cell_angle_gamma 129.22
_symmetry_space_group_name_H-M 'P 1'
_symmetry_Int_Tables_number 1
_symmetry_space_group_name_Hall 'P 1'
loop_
_atom_site_label
_atom_site_fract_x
_atom_site_fract_y
_atom_site_fract_z
_atom_site_occupancy
Be1 0.000 0.500 0.500 1
Sr1 0.500 0.000 0.500 1
Sr2 0.000 0.000 0.000 1
Cd1 0.500 0.500 0.000 1
```

## Properties
Electronic total energy in eV per atom: -1.863
DFT formation energy in eV/atom: 0.14
Polymorph energy (0 for the lowest one) in eV per atom: 0.066
Space-group type: C2/m
Crystal system: monoclinic

4.
Here is a relaxed Cs2HoCd2Se4 crystal from Alexandria. Energies are from GGA-PBE.

Geometry as CIF:
```
data_Cs2HoCd2Se4
_chemical_formula_sum 'Cs2 Ho1 Cd2 Se4'
_cell_length_a 4.235
_cell_length_b 8.839
_cell_length_c 8.779
_cell_angle_alpha 111.86
_cell_angle_beta 103.96
_cell_angle_gamma 90.00
_symmetry_space_group_name_H-M 'P 1'
_symmetry_Int_Tables_number 1
_symmetry_space_group_name_Hall 'P 1'
loop_
_atom_site_label
_atom_site_fract_x
_atom_site_fract_y
_atom_site_fract_z
_atom_site_occupancy
Se1 0.820 0.793 0.639 1
Se2 0.476 0.207 0.953 1
Cd1 0.314 0.986 0.628 1
Se3 0.524 0.793 0.047 1
Cs1 0.872 0.437 0.745 1
Cd2 0.686 0.014 0.372 1
Se4 0.180 0.207 0.361 1
Ho1 0.000 0.000 0.000 1
Cs2 0.128 0.563 0.255 1
```

## Properties
Electronic total energy in eV per atom: -3.556
Raw formation energy in eV/atom: -1.106
Space-group type: C2/m
Crystal system: monoclinic

5.
Here is a relaxed Cs3KPd crystal from Alexandria. Energies are from GGA-PBE.

Geometry as CIF:
```
data_Cs3KPd
_chemical_formula_sum 'Cs6 K2 Pd2'
_cell_length_a 5.216
_cell_length_b 13.683
_cell_length_c 11.813
_cell_angle_alpha 55.04
_cell_angle_beta 90.00
_cell_angle_gamma 90.00
_symmetry_space_group_name_H-M 'P 1'
_symmetry_Int_Tables_number 1
_symmetry_space_group_name_Hall 'P 1'
loop_
_atom_site_label
_atom_site_fract_x
_atom_site_fract_y
_atom_site_fract_z
_atom_site_occupancy
Cs1 0.250 0.472 0.245 1
Cs2 0.750 0.240 0.595 1
Pd1 0.250 0.474 0.535 1
K1 0.250 0.887 0.702 1
Cs3 0.750 0.787 0.097 1
Cs4 0.250 0.213 0.903 1
K2 0.750 0.113 0.298 1
Pd2 0.750 0.526 0.465 1
Cs5 0.750 0.528 0.755 1
Cs6 0.250 0.760 0.405 1
```

## Properties
Electronic total energy in eV per atom: -1.727
DFT formation energy in eV/atom: 0.04
Polymorph energy (0 for the lowest one) in eV per atom: 0.000
Space-group type: P2_1/m
Crystal system: monoclinic

6.
Here is a relaxed Ba2SrCaSe crystal from Alexandria. Energies are from GGA-PBE.

Geometry as CIF:
```
data_Ba2SrCaSe
_chemical_formula_sum 'Ba2 Sr1 Ca1 Se1'
_cell_length_a 6.494
_cell_length_b 6.494
_cell_length_c 6.068
_cell_angle_alpha 90.00
_cell_angle_beta 90.00
_cell_angle_gamma 90.00
_symmetry_space_group_name_H-M 'P 1'
_symmetry_Int_Tables_number 1
_symmetry_space_group_name_Hall 'P 1'
loop_
_atom_site_label
_atom_site_fract_x
_atom_site_fract_y
_atom_site_fract_z
_atom_site_occupancy
Se1 0.000 0.000 0.000 1
Ca1 0.500 0.500 0.500 1
Ba1 0.500 0.000 0.000 1
Ba2 0.000 0.500 0.000 1
Sr1 0.000 0.000 0.500 1
```

## Properties
Electronic total energy in eV per atom: -2.895
Raw formation energy in eV/atom: -0.692
Polymorph energy (0 for the lowest one) in eV per atom: 0.000
Space-group type: P4/mmm
Crystal system: tetragonal

7.
Here is a relaxed La2Pm6ErTm crystal from Alexandria. Energies are from GGA-PBE.

Geometry as CIF:
```
data_La2Pm6ErTm
_chemical_formula_sum 'La4 Pm12 Er2 Tm2'
_cell_length_a 10.032
_cell_length_b 8.879
_cell_length_c 8.879
_cell_angle_alpha 118.03
_cell_angle_beta 95.19
_cell_angle_gamma 95.19
_symmetry_space_group_name_H-M 'P 1'
_symmetry_Int_Tables_number 1
_symmetry_space_group_name_Hall 'P 1'
loop_
_atom_site_label
_atom_site_fract_x
_atom_site_fract_y
_atom_site_fract_z
_atom_site_occupancy
Pm1 0.879 0.293 0.498 1
La1 0.041 0.293 0.194 1
La2 0.459 0.806 0.707 1
Pm2 0.690 0.019 0.583 1
Tm1 0.250 0.405 0.595 1
La3 0.959 0.707 0.806 1
Pm3 0.943 0.875 0.256 1
Pm4 0.190 0.583 0.019 1
Pm5 0.810 0.417 0.981 1
Pm6 0.621 0.502 0.707 1
Pm7 0.379 0.498 0.293 1
Pm8 0.310 0.981 0.417 1
Er1 0.750 0.013 0.987 1
Pm9 0.557 0.744 0.125 1
Pm10 0.057 0.125 0.744 1
Pm11 0.121 0.707 0.502 1
La4 0.541 0.194 0.293 1
Pm12 0.443 0.256 0.875 1
Tm2 0.750 0.595 0.405 1
Er2 0.250 0.987 0.013 1
```

## Properties
Electronic total energy in eV per atom: -4.625
DFT formation energy in eV/atom: 0.11
Space-group type: C2/c
Crystal system: monoclinic

8.
Here is a relaxed Hf3PPt crystal from Alexandria. Energies are from GGA-PBE.

Geometry as CIF:
```
data_Hf3PPt
_chemical_formula_sum 'Hf3 P1 Pt1'
_cell_length_a 4.720
_cell_length_b 4.720
_cell_length_c 4.720
_cell_angle_alpha 90.00
_cell_angle_beta 90.00
_cell_angle_gamma 90.00
_symmetry_space_group_name_H-M 'P 1'
_symmetry_Int_Tables_number 1
_symmetry_space_group_name_Hall 'P 1'
loop_
_atom_site_label
_atom_site_fract_x
_atom_site_fract_y
_atom_site_fract_z
_atom_site_occupancy
Hf1 0.000 0.500 0.000 1
Pt1 0.500 0.500 0.500 1
P1 0.000 0.000 0.000 1
Hf2 0.000 0.000 0.500 1
Hf3 0.500 0.000 0.000 1
```

## Properties
Electronic total energy in eV per atom: -8.607
DFT formation energy in eV/atom: -0.34
Polymorph energy (0 for the lowest one) in eV per atom: 0.567
Space-group type: Pm-3m
Crystal system: cubic

9.
Here is a relaxed HoMnCuRh crystal from Alexandria. Energies are from GGA-PBE.

Geometry as CIF:
```
data_HoMnCuRh
_chemical_formula_sum 'Ho1 Mn1 Cu1 Rh1'
_cell_length_a 4.595
_cell_length_b 4.595
_cell_length_c 4.595
_cell_angle_alpha 60.00
_cell_angle_beta 60.00
_cell_angle_gamma 60.00
_symmetry_space_group_name_H-M 'P 1'
_symmetry_Int_Tables_number 1
_symmetry_space_group_name_Hall 'P 1'
loop_
_atom_site_label
_atom_site_fract_x
_atom_site_fract_y
_atom_site_fract_z
_atom_site_occupancy
Cu1 0.750 0.750 0.750 1
Ho1 0.000 0.000 0.000 1
Mn1 0.500 0.500 0.500 1
Rh1 0.250 0.250 0.250 1
```

## Properties
Electronic total energy in eV per atom: -6.536
DFT formation energy in eV/atom: -0.24
Space-group type: F-43m
Crystal system: cubic

10.
Here is a relaxed Fe2AsP crystal from Alexandria. Energies are from GGA-PBE.

Geometry as CIF:
```
data_Fe2AsP
_chemical_formula_sum 'Fe2 As1 P1'
_cell_length_a 3.853
_cell_length_b 3.853
_cell_length_c 4.975
_cell_angle_alpha 77.75
_cell_angle_beta 77.75
_cell_angle_gamma 42.48
_symmetry_space_group_name_H-M 'P 1'
_symmetry_Int_Tables_number 1
_symmetry_space_group_name_Hall 'P 1'
loop_
_atom_site_label
_atom_site_fract_x
_atom_site_fract_y
_atom_site_fract_z
_atom_site_occupancy
Fe1 0.505 0.505 0.475 1
As1 0.750 0.750 0.750 1
P1 0.250 0.250 0.250 1
Fe2 0.995 0.995 0.025 1
```

## Properties
Electronic total energy in eV per atom: -6.782
DFT formation energy in eV/atom: -0.04
Space-group type: C2/m
Crystal system: monoclinic

11.
Here is a relaxed LiCeAg2Br8 crystal from Alexandria. Energies are from GGA-PBE.

Geometry as CIF:
```
data_LiCeAg2Br8
_chemical_formula_sum 'Li1 Ce1 Ag2 Br8'
_cell_length_a 8.018
_cell_length_b 8.018
_cell_length_c 8.018
_cell_angle_alpha 109.87
_cell_angle_beta 109.87
_cell_angle_gamma 108.68
_symmetry_space_group_name_H-M 'P 1'
_symmetry_Int_Tables_number 1
_symmetry_space_group_name_Hall 'P 1'
loop_
_atom_site_label
_atom_site_fract_x
_atom_site_fract_y
_atom_site_fract_z
_atom_site_occupancy
Br1 0.953 0.256 0.303 1
Br2 0.953 0.650 0.697 1
Ag1 0.500 0.500 0.000 1
Br3 0.744 0.047 0.697 1
Br4 0.534 0.719 0.815 1
Br5 0.281 0.096 0.815 1
Ce1 0.000 0.000 0.000 1
Ag2 0.750 0.250 0.500 1
Br6 0.281 0.466 0.185 1
Br7 0.904 0.719 0.185 1
Br8 0.350 0.047 0.303 1
Li1 0.250 0.750 0.500 1
```

## Properties
Electronic total energy in eV per atom: -3.157
Raw formation energy in eV/atom: -0.912
Space-group type: I-4m2
Crystal system: tetragonal

12.
Here is a relaxed LiTeHO4 crystal from Alexandria. Energies are from GGA-PBE.

Geometry as CIF:
```
data_LiTeHO4
_chemical_formula_sum 'Li2 Te2 H2 O8'
_cell_length_a 6.046
_cell_length_b 4.733
_cell_length_c 5.029
_cell_angle_alpha 93.43
_cell_angle_beta 90.00
_cell_angle_gamma 90.00
_symmetry_space_group_name_H-M 'P 1'
_symmetry_Int_Tables_number 1
_symmetry_space_group_name_Hall 'P 1'
loop_
_atom_site_label
_atom_site_fract_x
_atom_site_fract_y
_atom_site_fract_z
_atom_site_occupancy
H1 0.000 0.070 0.484 1
O1 0.000 0.793 0.680 1
H2 0.500 0.070 0.484 1
O2 0.500 0.793 0.680 1
O3 0.250 0.781 0.158 1
Li1 0.750 0.540 0.521 1
O4 0.750 0.242 0.892 1
O5 0.250 0.242 0.892 1
Li2 0.250 0.540 0.521 1
Te1 0.500 0.001 0.009 1
Te2 0.000 0.001 0.009 1
O6 0.000 0.227 0.354 1
O7 0.750 0.781 0.158 1
O8 0.500 0.227 0.354 1
```

## Properties
Electronic total energy in eV per atom: -5.222
Polymorph energy (0 for the lowest one) in eV per atom: 0.000
Space-group type: Pm
Crystal system: monoclinic